# 1
An optimized crystal structure of CsVO3. Source: Alexandria, functional PBE+U.

abc: 3.3522 7.6788 7.6404
angles: 90.00 90.64 90.00
With the nearest neighbours (Å) after each atom.
Space group P2_1/m (No. 11)
Unique sites:
Cs 0.0031 0.2500 0.1258 x2  9 O 3.08-3.31, 2 Cs 3.35
V 0.4902 0.2500 0.6619 x2  2 O 1.67
O 0.0128 0.7500 0.4498 x2  2 V 1.88
O 0.4939 0.0769 0.7952 x4  1 V 1.67


# 2
An optimized crystal structure of Rb2MoCl5O. Source: Alexandria, functional PBE+U.

abc: 7.2921 7.2921 9.9788
angles: 90.00 90.00 90.00
With the nearest neighbours (Å) after each atom.
Space group I4mm (No. 107)
Unique sites:
Rb 0.0000 0.5000 0.0000 x4  10 Cl 3.57-3.65, 2 O 3.70
Mo 0.0000 0.0000 0.2332 x2  1 O 1.72
Cl 0.0000 0.0000 0.4871 x2  1 Mo 2.53
Cl 0.2358 0.2358 0.2527 x8  1 Mo 2.44
O 0.0000 0.0000 0.0604 x2  1 Mo 1.72


# 3
An optimized crystal structure of RbCr2PbO8. Source: Alexandria, functional PBE+U.

abc: 5.4865 5.4865 8.4859
angles: 90.00 90.00 120.00
With the nearest neighbours (Å) after each atom.
Space group P-3 (No. 147)
Unique sites:
Rb 0.0000 0.0000 0.0000 x1  12 O 3.23-3.32
Cr 0.3333 0.6667 0.7353 x2  4 O 1.63-1.69
Pb 0.0000 0.0000 0.5000 x1  6 O 2.33
O 0.0639 0.3579 0.6719 x6  1 Cr 1.69
O 0.3333 0.6667 0.9270 x2  1 Cr 1.63


Ordered energy results: -6.533, -4.089, -6.212; unit eV/atom.
Ordered density results: 3.92, 2.88, 3.94; unit Mg/m³.